# PBE with a Hubbard U NaCrW2O8, optimized geometry
# Magnetization, μB per formula unit: 3.0
# Calculated total energy, eV/cell: -173.90
# Energy above the lowest structure with this stoichiometry, meV/atom: 0
data_NaCrW2O8
_symmetry_space_group_name_H-M 'P 1 2/c 1'
_symmetry_Int_Tables_number 13
_symmetry_space_group_name_Hall '-P 2yc'
_cell_length_a 9.974
_cell_length_b 5.804
_cell_length_c 5.084
_cell_angle_alpha 90.00
_cell_angle_beta 90.82
_cell_angle_gamma 90.00
loop_
_atom_site_label
_atom_site_type_symbol
_atom_site_fract_x
_atom_site_fract_y
_atom_site_fract_z
Na1 Na 0.000 0.186 0.250
Cr1 Cr 0.500 0.148 0.250
W1 W 0.266 0.325 0.737
O1 O 0.147 0.124 0.620
O2 O 0.172 0.408 0.051
O3 O 0.376 0.376 0.421
O4 O 0.393 0.121 0.909